(1)
{
  "formula": "CaPtSe2",
  "functional": "PBE",
  "state": "optimized geometry",
  "dos_ef_per_ev_atom": 1.57,
  "de_polymorph_mev_per_atom": 495,
  "total_magnetization_mub_per_fu": 0.00,
  "lattice_angstrom": [[0.0000, 3.4380, 3.4380], [3.4380, 0.0000, 3.4380], [3.4380, 3.4380, 0.0000]],
  "species": ["Ca", "Pt", "Se", "Se"],
  "fractional_positions": [[0.0000, 0.0000, 0.0000], [0.5000, 0.5000, 0.5000], [0.2500, 0.2500, 0.2500], [0.7500, 0.7500, 0.7500]]
}

=====

(2)
{
  "formula": "CaPt2Se2",
  "functional": "PBE",
  "state": "optimized geometry",
  "dos_ef_per_ev_atom": 0.70,
  "dft_energy_ha_per_atom": -0.1715,
  "total_magnetization_mub_per_fu": 0.00,
  "lattice_angstrom": [[4.0177, 0.0000, 0.0000], [0.0000, 4.0177, 0.0000], [2.0088, 2.0088, 6.2989]],
  "species": ["Se", "Se", "Ca", "Pt", "Pt"],
  "fractional_positions": [[0.6113, 0.6113, 0.7773], [0.3887, 0.3887, 0.2227], [0.0000, 0.0000, 0.0000], [0.7500, 0.2500, 0.5000], [0.2500, 0.7500, 0.5000]]
}

=====

(3)
{
  "formula": "Ca2PtSe",
  "functional": "PBE",
  "state": "optimized geometry",
  "dft_energy_ha_per_atom": -0.1716,
  "total_magnetization_mub_per_fu": 0.00,
  "lattice_angstrom": [[-4.0063, -4.0662, 1.1834], [-1.2263, -5.6207, -0.9424], [2.2541, -1.1231, 3.7691]],
  "species": ["Ca", "Ca", "Se", "Pt"],
  "fractional_positions": [[0.9929, 0.9929, 0.8751], [0.2596, 0.2596, 0.3749], [0.7221, 0.7221, 0.8748], [0.5255, 0.5255, 0.3752]]
}

=====

(4)
{
  "formula": "Ca3PtSe",
  "functional": "PBE",
  "state": "optimized geometry",
  "dos_ef_per_ev_atom": 1.07,
  "de_polymorph_mev_per_atom": 0,
  "total_magnetization_mub_per_fu": 0.00,
  "lattice_angstrom": [[-5.1035, -1.9597, 0.1369], [1.9581, -5.1052, -0.0855], [0.1585, -0.0308, 5.4662]],
  "species": ["Pt", "Ca", "Ca", "Ca", "Se"],
  "fractional_positions": [[0.0000, 0.0000, 0.0000], [0.0000, 0.5000, 0.0000], [0.0000, 0.0000, 0.5000], [0.5000, 0.0000, 0.0000], [0.5000, 0.5000, 0.5000]]
}

=====

(5)
{
  "formula": "CaPtSe2",
  "functional": "PBE",
  "state": "optimized geometry",
  "dos_ef_per_ev_atom": 0.03,
  "de_polymorph_mev_per_atom": 60,
  "total_magnetization_mub_per_fu": 0.00,
  "lattice_angstrom": [[3.7046, 0.0000, 0.0000], [0.0000, 4.4296, 0.1075], [0.0000, 2.4671, 6.1726]],
  "species": ["Ca", "Se", "Se", "Pt"],
  "fractional_positions": [[0.5000, 0.2500, 0.2500], [0.0000, 0.7003, 0.5149], [0.0000, 0.7997, 0.9851], [0.5000, 0.7500, 0.7500]]
}

=====

(6)
{
  "formula": "Ca2PtSe",
  "functional": "PBE",
  "state": "optimized geometry",
  "dft_energy_ha_per_atom": -0.1707,
  "total_magnetization_mub_per_fu": 0.00,
  "lattice_angstrom": [[4.0923, 0.0000, 0.0000], [2.0462, 3.5440, 0.0000], [2.0462, 1.1813, 7.1595]],
  "species": ["Ca", "Ca", "Pt", "Se"],
  "fractional_positions": [[0.2515, 0.2515, 0.2456], [0.0820, 0.0820, 0.7540], [0.6662, 0.6662, 0.0015], [0.5004, 0.5004, 0.4989]]
}

=====

(7)
{
  "formula": "CaPtSe2",
  "functional": "PBE",
  "state": "optimized geometry",
  "de_polymorph_mev_per_atom": 0,
  "total_magnetization_mub_per_fu": 0.00,
  "lattice_angstrom": [[-0.4710, 5.1698, 3.9086], [-5.6375, 2.9838, 1.2416], [3.2322, -5.6363, 0.1050]],
  "species": ["Se", "Se", "Ca", "Pt"],
  "fractional_positions": [[0.1047, 0.1047, 0.0000], [0.3953, 0.3953, 0.0000], [0.7500, 0.2500, 0.5000], [0.2500, 0.7500, 0.5000]]
}

=====

(8)
{
  "formula": "CaPtSe2",
  "functional": "PBE",
  "state": "optimized geometry",
  "dos_ef_per_ev_atom": 0.31,
  "de_polymorph_mev_per_atom": 304,
  "total_magnetization_mub_per_fu": 0.00,
  "lattice_angstrom": [[-2.8209, 0.6109, -2.0744], [1.3391, -2.1837, -2.4642], [-3.7060, -5.9743, 3.2802]],
  "species": ["Pt", "Se", "Se", "Ca"],
  "fractional_positions": [[0.5000, 0.5000, 0.8021], [0.0000, 0.0000, 0.8874], [0.5000, 0.5000, 0.3171], [0.0000, 0.0000, 0.4935]]
}

=====

(9)
{
  "formula": "CaPtSe2",
  "functional": "PBE",
  "state": "optimized geometry",
  "dos_ef_per_ev_atom": 0.48,
  "de_polymorph_mev_per_atom": 453,
  "total_magnetization_mub_per_fu": 0.00,
  "lattice_angstrom": [[3.0371, 0.0000, 5.3152], [-1.5185, 2.6302, 5.3152], [-1.5185, -2.6302, 5.3152]],
  "species": ["Pt", "Ca", "Se", "Se"],
  "fractional_positions": [[0.0000, 0.0000, 0.0000], [0.5000, 0.5000, 0.5000], [0.8550, 0.8550, 0.8550], [0.1450, 0.1450, 0.1450]]
}

=====

(10)
{
  "formula": "CaPtSe2",
  "functional": "PBE",
  "state": "optimized geometry",
  "dos_ef_per_ev_atom": 1.28,
  "de_polymorph_mev_per_atom": 726,
  "total_magnetization_mub_per_fu": 0.00,
  "lattice_angstrom": [[4.9002, 0.0000, 0.0000], [2.4501, 4.2437, 0.0000], [2.4501, 1.4146, 4.0010]],
  "species": ["Se", "Se", "Ca", "Pt"],
  "fractional_positions": [[0.0000, 0.0000, 0.0000], [0.7500, 0.7500, 0.7500], [0.5000, 0.5000, 0.5000], [0.2500, 0.2500, 0.2500]]
}

=====

(11)
{
  "formula": "CaPtSe2",
  "functional": "PBE",
  "state": "optimized geometry",
  "dos_ef_per_ev_atom": 0.47,
  "de_polymorph_mev_per_atom": 290,
  "total_magnetization_mub_per_fu": 0.00,
  "lattice_angstrom": [[4.7632, 0.0000, 0.0000], [0.0000, 4.7628, 0.0000], [0.0000, 0.0000, 3.4651]],
  "species": ["Pt", "Ca", "Se", "Se"],
  "fractional_positions": [[0.0000, 0.5000, 0.5000], [0.5000, 0.0000, 0.5000], [0.5000, 0.5000, 0.0000], [0.0000, 0.0000, 0.0000]]
}

=====

(12)
{
  "formula": "Ca2PtSe",
  "functional": "PBE",
  "state": "optimized geometry",
  "dft_energy_ha_per_atom": -0.1687,
  "total_magnetization_mub_per_fu": 0.00,
  "lattice_angstrom": [[-1.1281, 3.3759, -6.7231], [-0.5459, -1.9376, -7.3360], [-1.8191, -1.0376, 7.3132]],
  "species": ["Pt", "Ca", "Ca", "Se"],
  "fractional_positions": [[0.4550, 0.4550, 0.0000], [0.0443, 0.0443, 0.0000], [0.2939, 0.7939, 0.5000], [0.7069, 0.2069, 0.5000]]
}

=====

(13)
{
  "formula": "CaPtSe4",
  "functional": "PBE",
  "state": "optimized geometry",
  "dos_ef_per_ev_atom": 0.82,
  "dft_energy_ha_per_atom": -0.1291,
  "total_magnetization_mub_per_fu": 0.00,
  "lattice_angstrom": [[0.0000, 4.0305, 4.0305], [4.0305, 0.0000, 4.0305], [4.0305, 4.0305, 0.0000]],
  "species": ["Ca", "Se", "Se", "Se", "Se", "Pt"],
  "fractional_positions": [[0.7500, 0.7500, 0.7500], [0.3731, 0.8807, 0.3731], [0.3731, 0.3731, 0.8807], [0.3731, 0.3731, 0.3731], [0.8807, 0.3731, 0.3731], [0.0000, 0.0000, 0.0000]]
}

=====

(14)
{
  "formula": "CaPtSe2",
  "functional": "PBE",
  "state": "optimized geometry",
  "dos_ef_per_ev_atom": 1.30,
  "de_polymorph_mev_per_atom": 215,
  "total_magnetization_mub_per_fu": 0.23,
  "lattice_angstrom": [[6.4063, -0.0003, -0.0002], [5.0581, 3.9315, -0.0002], [5.0581, 1.7345, 3.5282]],
  "species": ["Pt", "Se", "Se", "Ca"],
  "fractional_positions": [[0.7500, 0.7500, 0.7500], [0.0153, 0.0153, 0.0153], [0.4847, 0.4847, 0.4847], [0.2500, 0.2500, 0.2500]]
}

=====

(15)
{
  "formula": "CaPtSe2",
  "functional": "PBE",
  "state": "optimized geometry",
  "dos_ef_per_ev_atom": 0.66,
  "de_polymorph_mev_per_atom": 563,
  "total_magnetization_mub_per_fu": 0.00,
  "lattice_angstrom": [[1.2910, -8.5190, 0.7586], [4.0960, -7.4311, -1.6783], [4.5812, -7.0175, 2.1406]],
  "species": ["Pt", "Se", "Se", "Ca"],
  "fractional_positions": [[0.5000, 0.5000, 0.5000], [0.8844, 0.8844, 0.8844], [0.1156, 0.1156, 0.1156], [0.0000, 0.0000, 0.0000]]
}

=====

(16)
{
  "formula": "CaPtSe2",
  "functional": "PBE",
  "state": "optimized geometry",
  "dos_ef_per_ev_atom": 0.58,
  "de_polymorph_mev_per_atom": 344,
  "total_magnetization_mub_per_fu": 0.00,
  "lattice_angstrom": [[-1.7260, -4.3755, -1.3915], [4.8592, 0.1791, -0.5288], [2.1610, -3.3878, 2.8046]],
  "species": ["Pt", "Se", "Se", "Ca"],
  "fractional_positions": [[0.5000, 0.5000, 0.0000], [0.0000, 0.0000, 0.0000], [0.5000, 0.0000, 0.5000], [0.0000, 0.5000, 0.5000]]
}

=====

(17)
{
  "formula": "Ca2PtSe",
  "functional": "PBE",
  "state": "optimized geometry",
  "dos_ef_per_ev_atom": 0.00,
  "dft_energy_ha_per_atom": -0.1631,
  "total_magnetization_mub_per_fu": 0.00,
  "lattice_angstrom": [[7.4222, 0.0000, 0.0000], [0.0000, 7.4222, 0.0000], [3.7111, 3.7111, 4.1902]],
  "species": ["Ca", "Ca", "Ca", "Ca", "Pt", "Pt", "Se", "Se"],
  "fractional_positions": [[0.8750, 0.8790, 0.7500], [0.3750, 0.3710, 0.7500], [0.6290, 0.1250, 0.2500], [0.1210, 0.6250, 0.2500], [0.0000, 0.0000, 0.0000], [0.7500, 0.2500, 0.5000], [0.5000, 0.5000, 0.0000], [0.2500, 0.7500, 0.5000]]
}

=====

(18)
{
  "formula": "CaPtSe2",
  "functional": "PBE",
  "state": "optimized geometry",
  "dos_ef_per_ev_atom": 0.51,
  "de_polymorph_mev_per_atom": 275,
  "total_magnetization_mub_per_fu": 0.00,
  "lattice_angstrom": [[-4.9673, 1.6555, -4.3727], [-3.0531, -3.1616, -5.2170], [2.1834, -0.1304, 6.4615]],
  "species": ["Se", "Se", "Ca", "Pt"],
  "fractional_positions": [[0.0508, 0.0508, 0.0000], [0.7726, 0.2726, 0.5000], [0.4568, 0.4568, 0.0000], [0.2198, 0.7198, 0.5000]]
}

=====

(19)
{
  "formula": "CaPt3Se",
  "functional": "PBE",
  "state": "optimized geometry",
  "dos_ef_per_ev_atom": 0.00,
  "de_polymorph_mev_per_atom": 0,
  "total_magnetization_mub_per_fu": 0.00,
  "lattice_angstrom": [[-2.2337, -2.2694, 3.5573], [3.3483, -3.4027, -0.0683], [2.5678, 2.4628, 3.1835]],
  "species": ["Pt", "Pt", "Pt", "Ca", "Se"],
  "fractional_positions": [[0.0000, 0.5000, 0.0000], [0.0000, 0.0000, 0.5000], [0.5000, 0.0000, 0.0000], [0.5000, 0.5000, 0.5000], [0.0000, 0.0000, 0.0000]]
}

=====

(20)
{
  "formula": "CaPtSe2",
  "functional": "PBE",
  "state": "optimized geometry",
  "dos_ef_per_ev_atom": 0.53,
  "de_polymorph_mev_per_atom": 555,
  "total_magnetization_mub_per_fu": 0.00,
  "lattice_angstrom": [[-3.4067, 4.1145, -0.1420], [-3.9070, 0.6366, -3.5895], [-5.2292, -0.2976, 1.0591]],
  "species": ["Se", "Se", "Pt", "Ca"],
  "fractional_positions": [[0.3078, 0.3078, 0.3078], [0.9269, 0.9269, 0.9269], [0.7510, 0.7510, 0.7510], [0.5144, 0.5144, 0.5144]]
}